Compound: Rb3NaTh3S8
Source: Alexandria
Functional: GGA-PBE
Structure: optimized geometry

Geometry as POSCAR:
```
Rb3NaTh3S8
1.0
8.432 0.000 0.000
-4.216 7.304 -0.026
0.000 -4.841 7.726
S Rb Na Th
8 3 1 3
direct
0.240 0.948 0.688 S
0.240 0.479 0.688 S
0.291 0.052 0.312 S
0.760 0.052 0.312 S
0.709 0.948 0.688 S
0.267 0.534 0.301 S
0.733 0.466 0.699 S
0.760 0.521 0.312 S
0.500 0.500 0.000 Rb
0.000 0.000 0.000 Rb
0.000 0.500 0.000 Rb
0.000 0.000 0.500 Na
0.000 0.500 0.500 Th
0.500 0.000 0.500 Th
0.500 0.500 0.500 Th
```

Raw formation energy: -1.704 eV/atom
Density of states at the Fermi level: 0.00 states/eV per atom


Compound: Rb4NaTh3S8
Source: Alexandria
Functional: GGA-PBE
Structure: optimized geometry

Geometry as POSCAR:
```
Rb4NaTh3S8
1.0
8.456 0.000 0.000
0.000 9.079 0.430
-4.228 -4.224 5.986
Th S Rb Na
3 8 4 1
direct
0.500 0.500 0.500 Th
0.500 0.500 0.000 Th
0.000 0.500 0.500 Th
0.241 0.696 0.483 S
0.241 0.696 0.954 S
0.268 0.303 0.535 S
0.714 0.696 0.954 S
0.759 0.304 0.046 S
0.286 0.304 0.046 S
0.759 0.304 0.517 S
0.732 0.697 0.465 S
0.500 0.000 0.000 Rb
0.000 0.000 0.000 Rb
0.500 0.000 0.500 Rb
0.000 0.000 0.500 Rb
0.000 0.500 0.000 Na
```

Raw formation energy: -1.651 eV/atom
Density of states at the Fermi level: 0.39 states/eV per atom


Compound: RbNa3Th2S6
Source: Alexandria
Functional: GGA-PBE
Structure: optimized geometry

Geometry as POSCAR:
```
RbNa3Th2S6
1.0
4.229 0.000 0.000
0.000 8.792 0.617
-2.114 -2.214 8.610
S Rb Th Na
6 1 2 3
direct
0.012 0.282 0.023 S
0.682 0.137 0.365 S
0.673 0.559 0.345 S
0.318 0.863 0.635 S
0.988 0.718 0.977 S
0.327 0.441 0.655 S
0.500 0.000 0.000 Rb
0.837 0.667 0.674 Th
0.163 0.333 0.326 Th
0.500 0.500 0.000 Na
0.155 0.805 0.310 Na
0.845 0.195 0.690 Na
```

Raw formation energy: -1.587 eV/atom
Density of states at the Fermi level: 0.00 states/eV per atom


Compound: RbNaTiS3
Source: Alexandria
Functional: GGA-PBE
Structure: optimized geometry

Geometry as POSCAR:
```
RbNaTiS3
1.0
-1.955 6.403 -0.496
-0.022 -0.562 -7.173
-6.361 -1.651 3.758
S Na Ti Rb
6 2 2 2
direct
0.000 0.779 0.000 S
0.000 0.221 0.000 S
0.500 0.221 0.000 S
0.750 0.780 0.560 S
0.250 0.220 0.440 S
0.500 0.779 0.000 S
0.750 0.574 0.147 Na
0.250 0.426 0.853 Na
0.750 0.946 0.893 Ti
0.250 0.054 0.107 Ti
0.250 0.754 0.508 Rb
0.750 0.246 0.492 Rb
```

Raw formation energy: -1.319 eV/atom


Question: What is the formula in the first record?
Answer: Rb3NaTh3S8